Computed, not measured: a geometry-optimized TaHg2Se structure at the PBE-GGA level of DFT.

Properties
E, eV per atom: -3.4684
Total moment, μB per cell: 0.00
DOS at the Fermi energy, states/eV/f.u.: 2.75

POSCAR file:
```
TaHg2Se
1.0
3.449 0.000 0.000
0.000 4.570 0.000
0.000 0.000 5.401
Ta Hg Se
1 2 1
Direct
0.000 0.000 0.000 Ta
0.500 0.500 0.246 Hg
0.500 0.500 0.754 Hg
0.000 0.000 0.500 Se
```

=====

Computed, not measured: a geometry-optimized TaHgSe2 structure at the PBE-GGA level of DFT.

Properties
E, eV per atom: -5.1347
Total moment, μB per cell: 0.00
DOS at the Fermi energy, states/eV/f.u.: 0.90

POSCAR file:
```
TaHgSe2
1.0
6.357 -2.858 0.000
6.357 2.858 0.000
0.000 0.000 5.993
Ta Hg Se
2 2 4
Direct
0.004 0.996 0.500 Ta
0.996 0.004 0.000 Ta
0.434 0.566 0.755 Hg
0.566 0.434 0.255 Hg
0.023 0.685 0.248 Se
0.315 0.977 0.248 Se
0.685 0.023 0.748 Se
0.977 0.315 0.748 Se
```